Tl2BTe at its PBEsol-relaxed geometry. Source: Alexandria, functional meta-GGA SCAN.

Summary:
The space group is No. 122. The crystal system is tetragonal. The raw formation energy comes out at 2.05 eV/f.u. For the total magnetization, the calculation gives 0.0 μB per cell. The calculation puts the density of states at the Fermi level at 4.57 states/eV/cell.

a = 6.1524 Å, b = 6.1524 Å, c = 7.1568 Å
α = 115.46°, β = 115.46°, γ = 90.00°
Last column: nearest neighbours and their distance in Å.
Fractional coordinates of all 8 atoms:
Te 0.2500 0.7500 0.5000  4 Tl 3.01
Tl 0.6250 0.5237 0.7500  2 B 2.29
B 0.5000 0.5000 0.0000  4 Tl 2.29
B 0.7500 0.2500 0.5000  4 Tl 2.29
Te 0.0000 0.0000 0.0000  4 Tl 3.01
Tl 0.1250 0.2263 0.7500  2 B 2.29
Tl 0.7737 0.3750 0.2500  2 B 2.29
Tl 0.4763 0.8750 0.2500  2 B 2.29



Y3Zr at its PBEsol-relaxed geometry. Source: Alexandria, functional meta-GGA SCAN.

Summary:
The space group is No. 44. The crystal system is orthorhombic. Its energy relative to the lowest polymorph listed for this composition is 0.029 eV/atom. For the total magnetization, the calculation gives 0.0 μB per cell. The calculation puts the density of states at the Fermi level at 6.53 states/eV/cell.

a = 3.4555 Å, b = 6.0310 Å, c = 6.4382 Å
α = 117.93°, β = 105.57°, γ = 90.00°
Last column: nearest neighbours and their distance in Å.
Fractional coordinates of all 4 atoms:
Y 0.7415 0.7432 0.4829  3 Zr 3.30-3.44, 9 Y 3.34-3.48
Y 0.5000 0.1582 0.0000  8 Y 3.34-3.46, 4 Zr 3.40-3.55
Zr 0.0000 0.6717 0.0000  10 Y 3.30-3.55, 2 Zr 3.46
Y 0.2585 0.2603 0.5171  3 Zr 3.30-3.44, 9 Y 3.34-3.48



Hg2PH at its PBEsol-relaxed geometry. Source: Alexandria, functional meta-GGA SCAN.

Summary:
For the total energy, the calculation gives -36.74 eV per atom. The space group is No. 225. The crystal system is cubic. For the total magnetization, the calculation gives 0.4 μB per cell. The calculation puts the density of states at the Fermi level at 1.26 states/eV/cell.

a = 4.5328 Å, b = 4.5328 Å, c = 4.5328 Å
α = 60.00°, β = 60.00°, γ = 60.00°
Last column: nearest neighbours and their distance in Å.
Fractional coordinates of all 4 atoms:
Hg 0.7500 0.7500 0.7500  4 H 2.78, 4 P 2.78
Hg 0.2500 0.2500 0.2500  4 P 2.78, 4 H 2.78
H 0.0000 0.0000 0.0000  8 Hg 2.78
P 0.5000 0.5000 0.5000  8 Hg 2.78



IrSIO2 at its PBEsol-relaxed geometry. Source: Alexandria, functional meta-GGA SCAN.

Summary:
The space group is No. 123. The crystal system is tetragonal. The raw formation energy comes out at -0.04 eV/f.u. For the total magnetization, the calculation gives 0.0 μB per cell. The calculation puts the density of states at the Fermi level at 2.90 states/eV/cell.

a = 3.7307 Å, b = 3.7307 Å, c = 7.7433 Å
α = 90.00°, β = 90.00°, γ = 90.00°
Last column: nearest neighbours and their distance in Å.
Fractional coordinates of all 5 atoms:
O 0.5000 0.0000 0.0000  2 Ir 1.87
Ir 0.0000 0.0000 0.0000  4 O 1.87
I 0.0000 0.0000 0.5000  4 S 2.64
S 0.5000 0.5000 0.5000  4 I 2.64
O 0.0000 0.5000 0.0000  2 Ir 1.87



HoFeC2 at its PBEsol-relaxed geometry. Source: Alexandria, functional meta-GGA SCAN.

Summary:
For the total energy, the calculation gives -22.13 eV per atom. The space group is No. 38. The crystal system is orthorhombic. For the total magnetization, the calculation gives 1.6 μB per cell. The calculation puts the density of states at the Fermi level at 1.65 states/eV/cell.

a = 3.6776 Å, b = 3.6776 Å, c = 3.5426 Å
α = 90.00°, β = 90.00°, γ = 104.71°
Last column: nearest neighbours and their distance in Å.
Fractional coordinates of all 4 atoms:
C 0.1416 0.5447 0.5000  1 C 1.41
C 0.4553 0.8584 0.5000  1 C 1.41
Fe 0.6130 0.3870 0.5000  4 C 1.88-1.96
Ho 0.0052 0.9948 0.0000  8 C 2.56-2.64



AsSe2N at its PBEsol-relaxed geometry. Source: Alexandria, functional meta-GGA SCAN.

Summary:
The space group is No. 225. The crystal system is cubic. Its energy relative to the lowest polymorph listed for this composition is 0.512 eV/atom. The raw formation energy comes out at 5.79 eV/f.u. For the total magnetization, the calculation gives 1.3 μB per cell. The calculation puts the density of states at the Fermi level at 2.34 states/eV/cell.

a = 4.4438 Å, b = 4.4438 Å, c = 4.4438 Å
α = 60.00°, β = 60.00°, γ = 60.00°
Last column: nearest neighbours and their distance in Å.
Fractional coordinates of all 4 atoms:
Se 0.7500 0.7500 0.7500  4 As 2.72, 4 N 2.72
Se 0.2500 0.2500 0.2500  4 As 2.72, 4 N 2.72
N 0.0000 0.0000 0.0000  8 Se 2.72
As 0.5000 0.5000 0.5000  8 Se 2.72



La2AgIr at its PBEsol-relaxed geometry. Source: Alexandria, functional meta-GGA SCAN.

Summary:
The space group is No. 166. The crystal system is trigonal. Its energy relative to the lowest polymorph listed for this composition is 0.000 eV/atom. For the total magnetization, the calculation gives 0.0 μB per cell. The calculation puts the density of states at the Fermi level at 1.37 states/eV/cell.

a = 4.1879 Å, b = 4.1879 Å, c = 7.6507 Å
α = 74.12°, β = 74.12°, γ = 60.00°
Last column: nearest neighbours and their distance in Å.
Fractional coordinates of all 4 atoms:
Ir 0.0000 0.0000 0.0000  6 La 2.86
La 0.7368 0.7368 0.7895  3 Ir 2.86
Ag 0.5000 0.5000 0.5000  6 La 3.20
La 0.2632 0.2632 0.2105  3 Ir 2.86



PBr at its PBEsol-relaxed geometry. Source: Alexandria, functional meta-GGA SCAN.

Summary:
The space group is No. 63. The crystal system is orthorhombic. Its energy relative to the lowest polymorph listed for this composition is 0.000 eV/atom. The raw formation energy comes out at 0.27 eV/f.u. For the total magnetization, the calculation gives 0.0 μB per cell. The calculation puts the density of states at the Fermi level at 1.04 states/eV/cell.

a = 3.2202 Å, b = 7.3357 Å, c = 4.6761 Å
α = 90.00°, β = 90.00°, γ = 102.68°
Last column: nearest neighbours and their distance in Å.
Fractional coordinates of all 4 atoms:
P 0.0046 0.0091 0.7500  1 Br 2.20, 2 P 2.34
Br 0.8415 0.6831 0.2500  1 P 2.20
P 0.9954 0.9909 0.2500  1 Br 2.20, 2 P 2.34
Br 0.1585 0.3169 0.7500  1 P 2.20



Sr2MoSe at its PBEsol-relaxed geometry. Source: Alexandria, functional meta-GGA SCAN.

Summary:
The space group is No. 123. The crystal system is tetragonal. The raw formation energy comes out at -0.88 eV/f.u. For the total magnetization, the calculation gives 4.0 μB per cell. The calculation puts the density of states at the Fermi level at 1.56 states/eV/cell.

a = 3.7927 Å, b = 3.7927 Å, c = 7.5768 Å
α = 90.00°, β = 90.00°, γ = 90.00°
Last column: nearest neighbours and their distance in Å.
Fractional coordinates of all 4 atoms:
Mo 0.5000 0.5000 0.5000  8 Sr 3.36
Sr 0.0000 0.0000 0.7673  4 Se 3.21, 4 Mo 3.36, 1 Sr 3.53
Se 0.5000 0.5000 0.0000  8 Sr 3.21
Sr 0.0000 0.0000 0.2327  4 Se 3.21, 4 Mo 3.36, 1 Sr 3.53



MgNiSb2 at its PBEsol-relaxed geometry. Source: Alexandria, functional meta-GGA SCAN.

Summary:
The space group is No. 123. The crystal system is tetragonal. The raw formation energy comes out at 0.50 eV/f.u. For the total magnetization, the calculation gives 0.0 μB per cell. The calculation puts the density of states at the Fermi level at 1.98 states/eV/cell.

a = 3.8486 Å, b = 4.5093 Å, c = 4.5093 Å
α = 90.00°, β = 90.00°, γ = 90.00°
Last column: nearest neighbours and their distance in Å.
Fractional coordinates of all 4 atoms:
Sb 0.0000 0.5000 0.0000  4 Ni 2.96, 4 Mg 2.96, 4 Sb 3.19
Mg 0.5000 0.5000 0.5000  8 Sb 2.96, 4 Ni 3.19
Sb 0.0000 0.0000 0.5000  4 Ni 2.96, 4 Mg 2.96, 4 Sb 3.19
Ni 0.5000 0.0000 0.0000  8 Sb 2.96, 4 Mg 3.19